No. 1
Entry from the Alexandria database: a geometry-optimized Nd6Si3O structure (GGA-PBE).

abc: 6.5164 7.8826 10.1179
angles: 90.00 88.90 90.00
Fractional coordinates of all 20 atoms:
Nd 0.6720 0.1654 0.9418
Nd 0.6394 0.2019 0.5616
Nd 0.6383 0.4526 0.2641
Nd 0.3617 0.5474 0.7359
Nd 0.3606 0.7981 0.4384
Nd 0.3280 0.8346 0.0582
Nd 0.1720 0.3346 0.4418
Nd 0.1394 0.2981 0.0616
Nd 0.1383 0.0474 0.7641
Nd 0.8617 0.9526 0.2359
Nd 0.8606 0.7019 0.9384
Nd 0.8280 0.6654 0.5582
Si 0.5654 0.8892 0.7498
Si 0.5000 0.5000 0.0000
Si 0.4346 0.1108 0.2502
Si 0.0654 0.6108 0.2498
Si 0.0000 0.0000 0.5000
Si 0.9346 0.3892 0.7502
O 0.5000 0.5000 0.5000
O 0.0000 0.0000 0.0000

Results
Uncorrected energy (Ry/atom): -0.434
Formation energy (no corrections) (meV/atom): -924

No. 2
Entry from the Alexandria database: a geometry-optimized NdSiO2 structure (GGA-PBE).

abc: 2.9695 2.9695 7.4360
angles: 78.48 78.48 60.00
Fractional coordinates of all 4 atoms:
Si 0.5000 0.5000 0.5000
Nd 0.0000 0.0000 0.0000
O 0.1266 0.1266 0.6201
O 0.8734 0.8734 0.3799

Results
Uncorrected energy (Ry/atom): -0.466
Formation energy (no corrections) (meV/atom): -1317